This record from Alexandria describes a geometry-optimized PmSm6Ho4 structure. The functional is GGA-PBE.

Unit cell a=5.833 b=5.641 c=25.767 alpha=90.00 beta=90.00 gamma=121.13
Fractional positions:
Sm: 0.122 0.244 0.181
Sm: 0.500 0.000 0.500
Sm: 0.878 0.756 0.819
Sm: 0.500 0.000 0.000
Sm: 0.798 0.596 0.101
Sm: 0.450 0.899 0.250
Sm: 0.202 0.404 0.601
Sm: 0.550 0.101 0.750
Sm: 0.202 0.404 0.899
Sm: 0.798 0.596 0.399
Sm: 0.122 0.244 0.319
Sm: 0.878 0.756 0.681
Pm: 0.788 0.575 0.250
Pm: 0.212 0.425 0.750
Ho: 0.545 0.091 0.877
Ho: 0.455 0.909 0.123
Ho: 0.149 0.299 0.457
Ho: 0.455 0.909 0.377
Ho: 0.851 0.701 0.957
Ho: 0.149 0.299 0.043
Ho: 0.545 0.091 0.623
Ho: 0.851 0.701 0.543

Summary:
Energy above the most stable polymorph in this dataset   0.0 meV/atom
Density of states at the Fermi level   39.6 states/eV/cell
E_form   126 kJ/mol of formula units
Calculated total energy   -4.55 eV/atom

This record from Alexandria describes a geometry-optimized In2Hg4I structure. The functional is GGA-PBE.

Unit cell a=4.506 b=9.892 c=9.892 alpha=90.00 beta=90.00 gamma=90.00
Fractional positions:
Hg: 0.000 0.092 0.343
Hg: 0.000 0.657 0.908
Hg: 0.000 0.343 0.092
Hg: 0.500 0.157 0.592
Hg: 0.500 0.408 0.843
Hg: 0.000 0.908 0.657
Hg: 0.500 0.843 0.408
Hg: 0.500 0.592 0.157
In: 0.000 0.181 0.819
In: 0.500 0.681 0.681
In: 0.000 0.819 0.181
In: 0.500 0.319 0.319
I: 0.500 0.000 0.000
I: 0.000 0.500 0.500

Summary:
Energy above the most stable polymorph in this dataset   0.0 meV/atom
Density of states at the Fermi level   3.5 states/eV/cell
Calculated total energy   -1.27 eV/atom

This record from Alexandria describes a geometry-optimized UCdSnHg structure. The functional is GGA-PBE.

Unit cell a=5.194 b=5.194 c=5.194 alpha=60.00 beta=60.00 gamma=60.00
Fractional positions:
Hg: 0.500 0.500 0.500
Sn: 0.000 0.000 0.000
U: 0.750 0.750 0.750
Cd: 0.250 0.250 0.250

Summary:
Density of states at the Fermi level   7.2 states/eV/cell
E_form   53 kJ/mol of formula units
Calculated total energy   -3.99 eV/atom

This record from Alexandria describes a geometry-optimized NaInC structure. The functional is GGA-PBE.

Unit cell a=3.762 b=5.376 c=5.785 alpha=90.00 beta=90.00 gamma=90.00
Fractional positions:
Na: 0.500 0.070 0.772
Na: 0.000 0.930 0.272
C: 0.500 0.675 0.506
C: 0.000 0.325 0.006
In: 0.000 0.556 0.686
In: 0.500 0.444 0.186

Summary:
Density of states at the Fermi level   0.0 states/eV/cell
E_form   205 kJ/mol of formula units
Calculated total energy   -3.72 eV/atom

This record from Alexandria describes a geometry-optimized Ac8Ir3Br3Cl structure. The functional is GGA-PBE.

Unit cell a=8.971 b=8.973 c=9.337 alpha=118.72 beta=90.00 gamma=119.99
Fractional positions:
Br: 0.000 0.000 0.000
Br: 0.500 0.500 0.000
Br: 0.000 0.500 0.000
Ac: 0.293 0.040 0.287
Ac: 0.746 0.493 0.286
Ac: 0.733 0.466 0.698
Ac: 0.267 0.534 0.302
Ac: 0.707 0.960 0.713
Ac: 0.746 0.040 0.287
Ac: 0.254 0.960 0.713
Ac: 0.254 0.507 0.714
Cl: 0.000 0.000 0.500
Ir: 0.500 0.500 0.500
Ir: 0.500 0.000 0.500
Ir: 0.000 0.500 0.500

Summary:
Density of states at the Fermi level   7.5 states/eV/cell
Calculated total energy   -5.52 eV/atom

This record from Alexandria describes a geometry-optimized Pm2HfSi3Ir4 structure. The functional is GGA-PBE.

Unit cell a=4.135 b=4.135 c=10.681 alpha=90.00 beta=90.00 gamma=90.00
Fractional positions:
Hf: 0.500 0.500 0.500
Si: 0.000 0.000 0.500
Si: 0.000 0.500 0.122
Si: 0.500 0.000 0.878
Ir: 0.500 0.000 0.649
Ir: 0.000 0.000 0.000
Ir: 0.500 0.500 0.000
Ir: 0.000 0.500 0.351
Pm: 0.000 0.500 0.765
Pm: 0.500 0.000 0.235

Summary:
Density of states at the Fermi level   4.2 states/eV/cell
Calculated total energy   -8.13 eV/atom

This record from Alexandria describes a geometry-optimized Pm2Nd6SmDy3 structure. The functional is GGA-PBE.

Unit cell a=6.312 b=6.312 c=12.003 alpha=95.02 beta=95.02 gamma=120.00
Fractional positions:
Sm: 0.000 0.000 0.000
Pm: 0.667 0.333 0.000
Pm: 0.333 0.667 0.000
Dy: 0.500 0.500 0.500
Dy: 0.833 0.167 0.500
Dy: 0.167 0.833 0.500
Nd: 0.916 0.582 0.747
Nd: 0.249 0.249 0.747
Nd: 0.084 0.418 0.253
Nd: 0.418 0.084 0.253
Nd: 0.751 0.751 0.253
Nd: 0.582 0.916 0.747

Summary:
Density of states at the Fermi level   15.8 states/eV/cell
E_form   15 kJ/mol of formula units
Calculated total energy   -4.71 eV/atom

This record from Alexandria describes a geometry-optimized KNa2Sn10 structure. The functional is GGA-PBE.

Unit cell a=6.285 b=8.124 c=9.082 alpha=82.31 beta=69.76 gamma=67.24
Fractional positions:
Sn: 0.760 0.739 0.742
Sn: 0.498 0.261 0.742
Sn: 0.500 0.500 0.000
Sn: 0.000 0.500 0.000
Sn: 0.998 0.645 0.358
Sn: 0.002 0.355 0.642
Sn: 0.357 0.645 0.642
Sn: 0.643 0.355 0.358
Sn: 0.502 0.739 0.258
Sn: 0.240 0.261 0.258
Na: 0.500 0.000 0.500
Na: 0.000 0.000 0.500
K: 0.000 0.000 0.000

Summary:
Density of states at the Fermi level   5.2 states/eV/cell
E_form   -72 kJ/mol of formula units
Calculated total energy   -3.42 eV/atom

This record from Alexandria describes a geometry-optimized TlCrAg2Sb structure. The functional is GGA-PBE.

Unit cell a=5.211 b=5.211 c=5.746 alpha=90.00 beta=90.00 gamma=90.00
Fractional positions:
Ag: 0.000 0.500 0.000
Ag: 0.500 0.000 0.000
Sb: 0.000 0.000 0.500
Cr: 0.500 0.500 0.500
Tl: 0.000 0.000 0.000

Summary:
Density of states at the Fermi level   2.7 states/eV/cell
Calculated total energy   -3.31 eV/atom

This record from Alexandria describes a geometry-optimized TlCoTe2 structure. The functional is GGA-PBE.

Unit cell a=3.881 b=3.881 c=8.232 alpha=76.36 beta=76.36 gamma=60.00
Fractional positions:
Te: 0.053 0.053 0.841
Te: 0.278 0.278 0.165
Tl: 0.503 0.503 0.491
Co: 0.665 0.665 0.004

Summary:
Density of states at the Fermi level   3.0 states/eV/cell
Calculated total energy   -4.10 eV/atom

This record from Alexandria describes a geometry-optimized Pr5Tm2Th structure. The functional is GGA-PBE.

Unit cell a=5.142 b=7.277 c=14.551 alpha=90.00 beta=90.00 gamma=90.00
Fractional positions:
Pr: 0.000 0.007 0.252
Pr: 0.000 0.507 0.248
Pr: 0.000 0.993 0.748
Pr: 0.500 0.248 0.377
Pr: 0.000 0.000 0.000
Pr: 0.500 0.252 0.877
Pr: 0.000 0.493 0.752
Pr: 0.500 0.748 0.123
Pr: 0.000 0.500 0.500
Pr: 0.500 0.752 0.623
Tm: 0.500 0.261 0.122
Tm: 0.500 0.739 0.878
Tm: 0.500 0.761 0.378
Tm: 0.500 0.239 0.622
Th: 0.000 0.000 0.500
Th: 0.000 0.500 0.000

Summary:
Density of states at the Fermi level   18.8 states/eV/cell
E_form   20 kJ/mol of formula units
Calculated total energy   -5.01 eV/atom

This record from Alexandria describes a geometry-optimized AcTb6Dy structure. The functional is GGA-PBE.

Unit cell a=5.107 b=5.107 c=10.202 alpha=90.00 beta=90.00 gamma=90.00
Fractional positions:
Tb: 0.500 0.000 0.258
Tb: 0.500 0.000 0.742
Tb: 0.000 0.500 0.742
Tb: 0.500 0.500 0.000
Tb: 0.000 0.500 0.258
Tb: 0.500 0.500 0.500
Dy: 0.000 0.000 0.500
Ac: 0.000 0.000 0.000

Summary:
Energy above the most stable polymorph in this dataset   0.0 meV/atom
Density of states at the Fermi level   12.3 states/eV/cell
E_form   31 kJ/mol of formula units
Calculated total energy   -4.52 eV/atom

This record from Alexandria describes a geometry-optimized VHgSb structure. The functional is GGA-PBE.

Unit cell a=5.682 b=6.551 c=7.538 alpha=90.00 beta=90.00 gamma=115.70
Fractional positions:
Hg: 0.323 0.145 0.250
Hg: 0.677 0.855 0.750
Hg: 0.823 0.145 0.250
Hg: 0.177 0.855 0.750
Sb: 0.811 0.623 0.417
Sb: 0.189 0.377 0.583
Sb: 0.689 0.377 0.917
Sb: 0.311 0.623 0.083
V: 0.402 0.804 0.423
V: 0.098 0.196 0.923
V: 0.902 0.804 0.077
V: 0.598 0.196 0.577

Summary:
Density of states at the Fermi level   6.1 states/eV/cell
Calculated total energy   -4.27 eV/atom

This record from Alexandria describes a geometry-optimized MgV2HPt structure. The functional is GGA-PBE.

Unit cell a=3.726 b=3.726 c=4.416 alpha=90.00 beta=90.00 gamma=90.00
Fractional positions:
V: 0.500 0.000 0.000
V: 0.000 0.500 0.000
Pt: 0.500 0.500 0.500
Mg: 0.000 0.000 0.500
H: 0.000 0.000 0.000

Summary:
Density of states at the Fermi level   5.1 states/eV/cell
Calculated total energy   -6.07 eV/atom

This record from Alexandria describes a geometry-optimized SrS5O structure. The functional is GGA-PBE.

Unit cell a=5.910 b=4.780 c=7.975 alpha=91.01 beta=109.01 gamma=125.35
Fractional positions:
S: 0.200 0.682 0.336
S: 0.219 0.427 0.776
S: 0.396 0.208 0.712
S: 0.188 0.182 0.024
S: 0.931 0.233 0.117
Sr: 0.711 0.586 0.463
O: 0.886 0.214 0.634

Summary:
Calculated total energy   -4.67 eV/atom

This record from Alexandria describes a geometry-optimized ZrRh3Br structure. The functional is GGA-PBE.

Unit cell a=4.592 b=4.592 c=4.592 alpha=90.00 beta=90.00 gamma=90.00
Fractional positions:
Br: 0.000 0.000 0.000
Rh: 0.000 0.000 0.500
Rh: 0.000 0.500 0.000
Rh: 0.500 0.000 0.000
Zr: 0.500 0.500 0.500

Summary:
Energy above the most stable polymorph in this dataset   0.0 meV/atom
Density of states at the Fermi level   5.8 states/eV/cell
Calculated total energy   -5.82 eV/atom

This record from Alexandria describes a geometry-optimized Ac2Pu2O7 structure. The functional is GGA-PBE.

Unit cell a=8.023 b=8.023 c=8.023 alpha=60.00 beta=60.00 gamma=60.00
Fractional positions:
O: 0.038 0.038 0.462
O: 0.788 0.788 0.212
O: 0.462 0.462 0.038
O: 0.462 0.038 0.462
O: 0.212 0.788 0.212
O: 0.462 0.038 0.038
O: 0.788 0.212 0.212
O: 0.038 0.462 0.038
O: 0.788 0.212 0.788
O: 0.500 0.500 0.500
O: 0.212 0.212 0.788
O: 0.038 0.462 0.462
O: 0.750 0.750 0.750
O: 0.212 0.788 0.788
Pu: 0.125 0.125 0.125
Pu: 0.625 0.125 0.125
Pu: 0.125 0.625 0.125
Pu: 0.125 0.125 0.625
Ac: 0.625 0.125 0.625
Ac: 0.625 0.625 0.625
Ac: 0.625 0.625 0.125
Ac: 0.125 0.625 0.625

Summary:
Density of states at the Fermi level   15.0 states/eV/cell
Calculated total energy   -9.79 eV/atom

This record from Alexandria describes a geometry-optimized HfV2Cu structure. The functional is GGA-PBE.

Unit cell a=7.116 b=7.116 c=5.646 alpha=50.93 beta=50.93 gamma=90.00
Fractional positions:
V: 0.375 0.405 0.750
V: 0.595 0.125 0.250
V: 0.875 0.845 0.750
V: 0.155 0.625 0.250
Cu: 0.250 0.750 0.500
Cu: 0.500 0.500 0.000
Hf: 0.750 0.250 0.500
Hf: 0.000 0.000 0.000

Summary:
Energy above the most stable polymorph in this dataset   196.5 meV/atom
Density of states at the Fermi level   10.6 states/eV/cell
E_form   205 kJ/mol of formula units
Calculated total energy   -7.54 eV/atom

This record from Alexandria describes a geometry-optimized Tb3PrIr8 structure. The functional is GGA-PBE.

Unit cell a=5.395 b=5.395 c=9.338 alpha=73.21 beta=73.21 gamma=60.00
Fractional positions:
Tb: 0.499 0.499 0.502
Tb: 0.375 0.375 0.876
Tb: 0.000 0.000 0.999
Ir: 0.688 0.688 0.937
Ir: 0.438 0.438 0.185
Ir: 0.436 0.937 0.690
Ir: 0.937 0.937 0.690
Ir: 0.187 0.187 0.438
Ir: 0.937 0.436 0.690
Ir: 0.939 0.438 0.185
Ir: 0.438 0.939 0.185
Pr: 0.875 0.875 0.374

Summary:
Energy above the most stable polymorph in this dataset   0.0 meV/atom
Density of states at the Fermi level   9.7 states/eV/cell
E_form   -884 kJ/mol of formula units
Calculated total energy   -8.23 eV/atom

This record from Alexandria describes a geometry-optimized Ag2H2Pd structure. The functional is GGA-PBE.

Unit cell a=7.022 b=7.022 c=2.845 alpha=90.00 beta=90.00 gamma=90.00
Fractional positions:
Ag: 0.355 0.855 0.000
Ag: 0.645 0.145 0.000
Ag: 0.145 0.355 0.000
Ag: 0.855 0.645 0.000
Pd: 0.500 0.500 0.000
Pd: 0.000 0.000 0.000
H: 0.246 0.746 0.500
H: 0.754 0.254 0.500
H: 0.254 0.246 0.500
H: 0.746 0.754 0.500

Summary:
Energy above the most stable polymorph in this dataset   512.2 meV/atom
Density of states at the Fermi level   4.5 states/eV/cell
Calculated total energy   -2.96 eV/atom

This record from Alexandria describes a geometry-optimized Te2IrOsN structure. The functional is GGA-PBE.

Unit cell a=5.328 b=5.328 c=3.586 alpha=90.00 beta=90.00 gamma=90.00
Fractional positions:
Ir: 0.000 0.000 0.000
N: 0.000 0.000 0.500
Te: 0.500 0.000 0.000
Te: 0.000 0.500 0.000
Os: 0.500 0.500 0.500

Summary:
Energy above the most stable polymorph in this dataset   265.2 meV/atom
Density of states at the Fermi level   5.4 states/eV/cell
Calculated total energy   -5.89 eV/atom

This record from Alexandria describes a geometry-optimized NdSnSbRh2 structure. The functional is GGA-PBE.

Unit cell a=4.480 b=7.449 c=7.042 alpha=90.00 beta=90.00 gamma=107.50
Fractional positions:
Rh: 0.186 0.373 0.539
Rh: 0.814 0.627 0.461
Rh: 0.186 0.373 0.961
Rh: 0.814 0.627 0.039
Sb: 0.000 0.000 0.000
Sb: 0.000 0.000 0.500
Sn: 0.313 0.627 0.250
Sn: 0.687 0.373 0.750
Nd: 0.378 0.756 0.750
Nd: 0.622 0.244 0.250

Summary:
Density of states at the Fermi level   6.3 states/eV/cell
Calculated total energy   -6.17 eV/atom